Entry 1:
DFT (GGA-PBE) results for crystalline K3Tb2YO6 at its relaxed geometry.

Calculated values
* ΔE_f (raw): -2.7478 eV/atom
* calculated volume: 16.633 Å³/atom
* space group: C2/m, No. 12
* E_tot: -6.812 eV/atom
* total moment: 0.00 μB per atom

a = 6.0643 Å, b = 6.0643 Å, c = 6.5850 Å
α = 98.83°, β = 98.83°, γ = 120.00°
Atoms (fractional coordinates):
K1 0.0000 0.0000 0.0000
K2 0.3335 0.6665 0.0000
K3 0.6665 0.3335 0.0000
Tb1 0.1667 0.8333 0.5000
Tb2 0.8333 0.1667 0.5000
Y1 0.5000 0.5000 0.5000
O1 0.1053 0.4380 0.3139
O2 0.2294 0.2294 0.6861
O3 0.4380 0.1053 0.3139
O4 0.5620 0.8947 0.6861
O5 0.7706 0.7706 0.3139
O6 0.8947 0.5620 0.6861



Entry 2:
DFT (GGA-PBE) results for crystalline K3TbY2O6 at its relaxed geometry.

Calculated values
* ΔE_f (raw): -2.7469 eV/atom
* calculated volume: 16.576 Å³/atom
* space group: C2/m, No. 12
* E_tot: -6.964 eV/atom
* total moment: 0.00 μB per atom

a = 6.0543 Å, b = 6.0543 Å, c = 6.5832 Å
α = 98.82°, β = 98.82°, γ = 120.00°
Atoms (fractional coordinates):
K1 0.0000 0.0000 0.0000
K2 0.3332 0.6668 0.0000
K3 0.6668 0.3332 0.0000
Tb1 0.5000 0.5000 0.5000
Y1 0.1667 0.8333 0.5000
Y2 0.8333 0.1667 0.5000
O1 0.1039 0.4380 0.3139
O2 0.2280 0.2280 0.6861
O3 0.4380 0.1039 0.3139
O4 0.5620 0.8961 0.6861
O5 0.7720 0.7720 0.3139
O6 0.8961 0.5620 0.6861



Entry 3:
DFT (GGA-PBE) results for crystalline KTb2ZnO5 at its relaxed geometry.

Calculated values
* ΔE_f (raw): -2.4233 eV/atom
* calculated volume: 13.932 Å³/atom
* space group: I4/mcm, No. 140
* E_tot: -6.470 eV/atom
* total moment: 0.11 μB per atom

a = 7.4208 Å, b = 7.4208 Å, c = 7.4208 Å
α = 127.28°, β = 127.28°, γ = 77.79°
Atoms (fractional coordinates):
K1 0.2500 0.2500 0.0000
K2 0.7500 0.7500 0.0000
Tb1 0.1723 0.6723 0.8447
Tb2 0.3277 0.1723 0.5000
Tb3 0.6723 0.8277 0.5000
Tb4 0.8277 0.3277 0.1553
Zn1 0.2500 0.7500 0.5000
Zn2 0.7500 0.2500 0.5000
O1 0.0000 0.0000 0.0000
O2 0.0177 0.2371 0.5000
O3 0.2371 0.7371 0.2194
O4 0.2629 0.4823 0.5000
O5 0.4823 0.9823 0.2194
O6 0.5000 0.5000 0.0000
O7 0.5177 0.0177 0.7806
O8 0.7371 0.5177 0.5000
O9 0.7629 0.2629 0.7806
O10 0.9823 0.7629 0.5000



Entry 4:
DFT (GGA-PBE) results for crystalline KTbZnO3 at its relaxed geometry.

Calculated values
* ΔE_f (raw): -2.2251 eV/atom
* calculated volume: 18.911 Å³/atom
* space group: P2_1/m, No. 11
* E_tot: -5.871 eV/atom
* total moment: 0.00 μB per atom

a = 7.3836 Å, b = 3.5430 Å, c = 9.2472 Å
α = 90.00°, β = 110.26°, γ = 90.00°
Atoms (fractional coordinates):
K1 0.1931 0.2500 0.1678
K2 0.8069 0.7500 0.8322
Tb1 0.3322 0.7500 0.8546
Tb2 0.6678 0.2500 0.1454
Zn1 0.0401 0.2500 0.6185
Zn2 0.9599 0.7500 0.3815
O1 0.1101 0.2500 0.8422
O2 0.1670 0.7500 0.5859
O3 0.4595 0.7500 0.1157
O4 0.5405 0.2500 0.8843
O5 0.8330 0.2500 0.4141
O6 0.8899 0.7500 0.1578



Entry 5:
DFT (GGA-PBE) results for crystalline K3Tb2ZrO6 at its relaxed geometry.

Calculated values
* ΔE_f (raw): -2.5958 eV/atom
* calculated volume: 15.999 Å³/atom
* space group: C2/m, No. 12
* E_tot: -6.833 eV/atom
* total moment: 0.00 μB per atom

a = 5.9524 Å, b = 5.9524 Å, c = 6.5643 Å
α = 98.70°, β = 98.70°, γ = 120.00°
Atoms (fractional coordinates):
K1 0.0000 0.0000 0.0000
K2 0.3343 0.6657 0.0000
K3 0.6657 0.3343 0.0000
Tb1 0.1668 0.8332 0.5000
Tb2 0.8332 0.1668 0.5000
Zr1 0.5000 0.5000 0.5000
O1 0.1211 0.4380 0.3145
O2 0.2448 0.2448 0.6853
O3 0.4380 0.1211 0.3145
O4 0.5620 0.8789 0.6855
O5 0.7552 0.7552 0.3147
O6 0.8789 0.5620 0.6855



Entry 6:
DFT (GGA-PBE) results for crystalline K4Tb3ZrO8 at its relaxed geometry.

Calculated values
* ΔE_f (raw): -2.6303 eV/atom
* calculated volume: 16.176 Å³/atom
* space group: R-3m, No. 166
* E_tot: -6.786 eV/atom
* total moment: 0.00 μB per atom

a = 7.4193 Å, b = 7.4193 Å, c = 7.4193 Å
α = 55.53°, β = 55.53°, γ = 55.53°
Atoms (fractional coordinates):
K1 0.0000 0.0000 0.0000
K2 0.0000 0.5000 0.5000
K3 0.5000 0.0000 0.5000
K4 0.5000 0.5000 0.0000
Tb1 0.0000 0.0000 0.5000
Tb2 0.0000 0.5000 0.0000
Tb3 0.5000 0.0000 0.0000
Zr1 0.5000 0.5000 0.5000
O1 0.2292 0.2292 0.2292
O2 0.2441 0.7201 0.7201
O3 0.2799 0.2799 0.7559
O4 0.2799 0.7559 0.2799
O5 0.7201 0.2441 0.7201
O6 0.7201 0.7201 0.2441
O7 0.7559 0.2799 0.2799
O8 0.7708 0.7708 0.7708



- calculated volume of number 4 (KTbZnO3)?
  18.911 Å³/atom



- Number 5 is which compound?
  K3Tb2ZrO6